(1)
RbTaSb: optimized geometry, GGA-PBE.

Properties
Total magnetization   0.00 μB/cell

Cell: 4.0844 4.3080 12.3425 Å, 90.00 98.88 90.00°
Fractional coordinates of all 6 atoms:
Sb1 0.8242 0.7500 0.1590
Sb2 0.1758 0.2500 0.8410
Ta1 0.2466 0.7500 0.9926
Ta2 0.7534 0.2500 0.0074
Rb1 0.6035 0.7500 0.6860
Rb2 0.3965 0.2500 0.3140

(2)
RbTaSb: optimized geometry, GGA-PBE.

Properties
Total magnetization   0.00 μB/cell

Cell: 4.1155 4.2811 11.9151 Å, 90.00 90.46 90.00°
Fractional coordinates of all 6 atoms:
Rb1 0.7575 0.7500 0.3206
Rb2 0.2425 0.2500 0.6794
Ta1 0.2501 0.7500 0.0064
Ta2 0.7499 0.2500 0.9936
Sb1 0.2539 0.2500 0.1630
Sb2 0.7461 0.7500 0.8370

Number 1: energy -5.71 eV/atom. Number 2: energy -5.71 eV/atom.